TaPt2Au, relaxed, DFT GGA-PBE; symmetry = I-42d (122); energy of formation = -0.05 eV per atom
1.0
7.315 0.000 0.000
0.000 7.315 0.000
0.000 0.000 5.557
Ta Pt Au
4 8 4
direct
0.000 0.000 0.000 Ta
0.000 0.500 0.250 Ta
0.500 0.000 0.750 Ta
0.500 0.500 0.500 Ta
0.225 0.250 0.125 Pt
0.250 0.725 0.375 Pt
0.250 0.775 0.875 Pt
0.275 0.250 0.625 Pt
0.725 0.750 0.625 Pt
0.750 0.225 0.875 Pt
0.750 0.275 0.375 Pt
0.775 0.750 0.125 Pt
0.000 0.000 0.500 Au
0.000 0.500 0.750 Au
0.500 0.000 0.250 Au
0.500 0.500 0.000 Au

***

MgAg8Pd5, relaxed, DFT GGA-PBE; symmetry = I-4 (82); energy of formation = 0.06 eV per atom
1.0
-3.902 3.902 4.147
3.902 -3.902 4.147
3.902 3.902 -4.147
Mg Ag Pd
1 8 5
direct
0.000 0.000 0.000 Mg
0.107 0.682 0.784 Ag
0.175 0.276 0.766 Ag
0.318 0.102 0.425 Ag
0.510 0.409 0.234 Ag
0.591 0.825 0.101 Ag
0.677 0.893 0.575 Ag
0.724 0.490 0.899 Ag
0.898 0.323 0.216 Ag
0.214 0.629 0.183 Pd
0.371 0.553 0.585 Pd
0.447 0.031 0.817 Pd
0.750 0.250 0.500 Pd
0.969 0.786 0.415 Pd

***

MoWSe2, relaxed, DFT GGA-PBE; E = -7.438 eV/atom; symmetry = R-3m (166)
1.0
3.081 0.000 0.000
-1.540 2.668 0.000
0.000 0.000 25.938
Mo W Se
3 3 6
direct
0.000 0.000 0.000 Mo
0.333 0.667 0.667 Mo
0.667 0.333 0.333 Mo
0.000 0.000 0.500 W
0.333 0.667 0.167 W
0.667 0.333 0.833 W
0.000 0.000 0.404 Se
0.000 0.000 0.596 Se
0.333 0.667 0.070 Se
0.333 0.667 0.263 Se
0.667 0.333 0.737 Se
0.667 0.333 0.930 Se

***

Pm2GaCl, relaxed, DFT GGA-PBE; E = -4.535 eV/atom; symmetry = P4/mmm (123)
1.0
3.453 0.000 0.000
0.000 3.453 0.000
0.000 0.000 8.122
Pm Ga Cl
2 1 1
direct
0.000 0.000 0.235 Pm
0.000 0.000 0.765 Pm
0.500 0.500 0.000 Ga
0.500 0.500 0.500 Cl

***

TmLuTl, relaxed, DFT GGA-PBE; symmetry = F-43m (216); energy of formation = -0.02 eV per atom
1.0
7.203 0.000 0.000
0.000 7.203 0.000
0.000 0.000 7.203
Tm Lu Tl
4 4 4
direct
0.000 0.000 0.000 Tm
0.000 0.500 0.500 Tm
0.500 0.000 0.500 Tm
0.500 0.500 0.000 Tm
0.000 0.000 0.500 Lu
0.000 0.500 0.000 Lu
0.500 0.000 0.000 Lu
0.500 0.500 0.500 Lu
0.250 0.250 0.250 Tl
0.250 0.750 0.750 Tl
0.750 0.250 0.750 Tl
0.750 0.750 0.250 Tl

***

PrTm8Th2, relaxed, DFT GGA-PBE; symmetry = P-1 (2); energy of formation = 0.03 eV per atom
1.0
6.092 0.000 0.000
-1.048 7.836 0.000
-2.046 -2.677 7.162
Pr Tm Th
1 8 2
direct
0.000 0.000 0.000 Pr
0.181 0.635 0.724 Tm
0.268 0.458 0.088 Tm
0.360 0.272 0.457 Tm
0.448 0.091 0.813 Tm
0.552 0.909 0.187 Tm
0.640 0.728 0.543 Tm
0.732 0.542 0.912 Tm
0.819 0.365 0.276 Tm
0.091 0.818 0.369 Th
0.909 0.182 0.631 Th

***

MgGa2CuO, relaxed, DFT GGA-PBE; E = -3.392 eV/atom; symmetry = P4/mmm (123)
1.0
5.169 0.000 0.000
0.000 5.169 0.000
0.000 0.000 3.505
Mg Ga Cu O
1 2 1 1
direct
0.000 0.000 0.000 Mg
0.000 0.500 0.500 Ga
0.500 0.000 0.500 Ga
0.500 0.500 0.500 Cu
0.500 0.500 0.000 O

***

Zn2AsP, relaxed, DFT GGA-PBE; symmetry = R3m (160); energy of formation = 0.35 eV per atom
1.0
2.984 0.000 0.000
-1.492 2.584 0.000
0.000 0.000 27.097
Zn As P
6 3 3
direct
0.000 0.000 0.000 Zn
0.000 0.000 0.254 Zn
0.333 0.667 0.667 Zn
0.333 0.667 0.921 Zn
0.667 0.333 0.333 Zn
0.667 0.333 0.587 Zn
0.000 0.000 0.511 As
0.333 0.667 0.178 As
0.667 0.333 0.844 As
0.000 0.000 0.735 P
0.333 0.667 0.402 P
0.667 0.333 0.069 P

***

Number 1: magnetization 0.00 μB/cell. Number 2: magnetization 0.00 μB/cell. Number 3: magnetization 0.00 μB/cell. Number 4: magnetization 0.00 μB/cell. Number 5: magnetization 0.00 μB/cell. Number 6: magnetization 0.00 μB/cell. Number 7: magnetization 0.00 μB/cell. Number 8: magnetization 0.00 μB/cell.